Compound: Li3Nd2UTe6
Source: the Alexandria database
Functional: GGA-PBE
Structure: optimized geometry

Structure (POSCAR):
```
Li3Nd2UTe6
1.0
3.829 -6.632 0.000
3.829 6.632 0.000
-2.550 0.000 7.108
Li Nd U Te
3 2 1 6
direct
0.000 0.000 0.000 Li
0.333 0.667 0.000 Li
0.667 0.333 0.000 Li
0.167 0.833 0.500 Nd
0.833 0.167 0.500 Nd
0.500 0.500 0.500 U
0.084 0.413 0.237 Te
0.259 0.259 0.762 Te
0.413 0.084 0.237 Te
0.587 0.916 0.763 Te
0.741 0.741 0.238 Te
0.916 0.587 0.763 Te
```

Raw formation energy (eV/atom): -1.107
N(E_F) (states/eV/cell): 7.59

=====

Compound: Zn4Pt5Au
Source: the Alexandria database
Functional: GGA-PBE
Structure: optimized geometry

Structure (POSCAR):
```
Zn4Pt5Au
1.0
2.903 0.000 0.000
0.000 2.903 0.000
0.000 0.000 17.863
Zn Pt Au
4 5 1
direct
0.000 0.000 0.097 Zn
0.000 0.000 0.292 Zn
0.000 0.000 0.708 Zn
0.000 0.000 0.903 Zn
0.500 0.500 0.000 Pt
0.500 0.500 0.194 Pt
0.500 0.500 0.385 Pt
0.500 0.500 0.615 Pt
0.500 0.500 0.806 Pt
0.000 0.000 0.500 Au
```

Calculated total energy (eV/atom): -4.308
N(E_F) (states/eV/cell): 2.95